DFT (PBE) results for a relaxed PuSc3Ru4 crystal.

Computed properties:
VASP energy, eV/atom: -9.2972
DFT formation energy, eV/atom: -0.493

Geometry as POSCAR:
```
PuSc3Ru4
1.0
-3.483 0.653 2.914
-2.982 -0.546 -3.445
3.017 -6.441 1.453
Ru Sc Pu
4 3 1
Direct
0.377 0.376 0.754
0.623 0.624 0.246
0.124 0.123 0.246
0.876 0.877 0.754
0.000 0.500 0.000
0.754 0.254 0.507
0.246 0.746 0.493
0.500 0.000 0.000
```



DFT (PBE) results for a relaxed TlCuSbCl6 crystal.

Computed properties:
ΔE_f (raw), kJ/mol of atoms: -74.25
VASP energy, eV/atom: -3.1768

Geometry as POSCAR:
```
TlCuSbCl6
1.0
6.751 -0.261 -0.229
3.146 6.000 0.215
-0.229 0.401 6.903
Cl Tl Cu Sb
6 1 1 1
Direct
0.357 0.590 0.279
0.008 0.376 0.331
0.593 0.355 0.721
0.656 0.981 0.254
0.983 0.658 0.744
0.374 0.010 0.670
0.015 0.014 0.001
0.335 0.335 0.500
0.679 0.680 0.500
```



DFT (PBE) results for a relaxed TbPm3Sm2Se6 crystal.

Computed properties:
ΔE_f (raw), kJ/mol of atoms: -175.75
VASP energy, eV/atom: -5.9238

Geometry as POSCAR:
```
TbPm3Sm2Se6
1.0
7.228 -0.018 -0.003
-3.628 6.251 -0.003
-1.203 -2.083 6.827
Tb Sm Se Pm
1 2 6 3
Direct
0.000 0.000 0.000
0.333 0.667 0.000
0.667 0.333 0.000
0.590 0.918 0.755
0.918 0.590 0.755
0.410 0.082 0.245
0.246 0.246 0.753
0.754 0.754 0.247
0.082 0.410 0.245
0.170 0.830 0.500
0.500 0.500 0.500
0.830 0.170 0.500
```



DFT (PBE) results for a relaxed Tl2As2S5 crystal.

Computed properties:
ΔE_f (raw), kJ/mol of atoms: -8.60
VASP energy, eV/atom: -3.9413

Geometry as POSCAR:
```
Tl2As2S5
1.0
5.300 0.000 0.000
-2.650 6.551 -0.332
0.000 -1.379 7.072
Tl S As
2 5 2
Direct
0.596 0.193 0.335
0.404 0.807 0.665
0.844 0.687 0.417
0.330 0.659 0.059
0.670 0.341 0.941
0.156 0.313 0.583
0.000 0.000 0.000
0.159 0.318 0.884
0.841 0.682 0.116
```



DFT (PBE) results for a relaxed Ac4Bi2BrN2 crystal.

Computed properties:
ΔE_f (raw), kJ/mol of atoms: -113.08
VASP energy, eV/atom: -5.8964

Geometry as POSCAR:
```
Ac4Bi2BrN2
1.0
-1.032 -3.974 0.351
1.954 0.859 -8.722
7.070 -1.441 4.466
Ac Bi Br N
4 2 1 2
Direct
0.547 0.095 0.743
0.214 0.427 0.152
0.786 0.573 0.848
0.453 0.905 0.257
0.865 0.731 0.489
0.135 0.269 0.511
0.000 0.000 0.000
0.328 0.655 0.031
0.672 0.345 0.969
```



DFT (PBE) results for a relaxed K3Na5P3 crystal.

Computed properties:
VASP energy, eV/atom: -2.5644
DFT formation energy, eV/atom: -0.190

Geometry as POSCAR:
```
K3Na5P3
1.0
-2.801 -5.558 1.030
5.213 -1.338 6.960
-7.728 4.082 1.012
Na K P
5 3 3
Direct
0.500 0.333 0.667
0.500 0.000 0.273
0.500 0.273 0.000
0.500 0.727 0.727
0.500 0.667 0.333
0.000 0.648 0.000
0.000 0.352 0.352
0.000 0.000 0.648
0.500 0.364 0.364
0.500 0.000 0.636
0.500 0.636 0.000
```



DFT (PBE) results for a relaxed MgZn2Ni crystal.

Computed properties:
VASP energy, eV/atom: -2.3638
DFT formation energy, eV/atom: 0.117

Geometry as POSCAR:
```
MgZn2Ni
1.0
-0.183 -1.886 3.243
3.744 0.124 0.283
1.174 7.019 6.324
Mg Zn Ni
2 4 2
Direct
0.500 0.500 0.000
0.250 0.750 0.500
0.656 0.125 0.250
0.094 0.625 0.250
0.375 0.344 0.750
0.875 0.906 0.750
0.750 0.250 0.500
0.000 0.000 0.000
```



DFT (PBE) results for a relaxed ErPa2Si crystal.

Computed properties:
ΔE_f (raw), kJ/mol of atoms: 19.14
VASP energy, eV/atom: -7.0460
Excess energy over the best structure of this formula in the dataset, eV/f.u.: 1.56

Geometry as POSCAR:
```
ErPa2Si
1.0
-2.561 -1.852 0.270
0.285 -3.148 -0.265
0.954 -2.435 10.977
Si Pa Er
1 2 1
Direct
0.500 0.500 0.500
0.096 0.096 0.712
0.904 0.904 0.288
0.000 0.000 0.000
```



- Among the records above, which one has the lowest VASP energy?
  PuSc3Ru4



Repeat the fifth record exactly.
DFT (PBE) results for a relaxed Ac4Bi2BrN2 crystal.

Computed properties:
ΔE_f (raw), kJ/mol of atoms: -113.08
VASP energy, eV/atom: -5.8964

Geometry as POSCAR:
```
Ac4Bi2BrN2
1.0
-1.032 -3.974 0.351
1.954 0.859 -8.722
7.070 -1.441 4.466
Ac Bi Br N
4 2 1 2
Direct
0.547 0.095 0.743
0.214 0.427 0.152
0.786 0.573 0.848
0.453 0.905 0.257
0.865 0.731 0.489
0.135 0.269 0.511
0.000 0.000 0.000
0.328 0.655 0.031
0.672 0.345 0.969
```



What did the third record say?
DFT (PBE) results for a relaxed TbPm3Sm2Se6 crystal.

Computed properties:
ΔE_f (raw), kJ/mol of atoms: -175.75
VASP energy, eV/atom: -5.9238

Geometry as POSCAR:
```
TbPm3Sm2Se6
1.0
7.228 -0.018 -0.003
-3.628 6.251 -0.003
-1.203 -2.083 6.827
Tb Sm Se Pm
1 2 6 3
Direct
0.000 0.000 0.000
0.333 0.667 0.000
0.667 0.333 0.000
0.590 0.918 0.755
0.918 0.590 0.755
0.410 0.082 0.245
0.246 0.246 0.753
0.754 0.754 0.247
0.082 0.410 0.245
0.170 0.830 0.500
0.500 0.500 0.500
0.830 0.170 0.500
```